Record 1
A plane-wave DFT calculation with PBEsol was carried out for an optimized crystal structure of NdReO3.

**E_tot**: -8.70 eV/atom
**Magnetic moment**: 0.248 μB/f.u.

Unit cell a=3.9493 b=3.9493 c=3.9493 alpha=90.00 beta=90.00 gamma=90.00
Space group Pm-3m (No. 221)
Symmetry-distinct sites (fractional):
Nd: 0.0000 0.0000 0.0000 (multiplicity 1)
Re: 0.5000 0.5000 0.5000 (multiplicity 1)
O: 0.0000 0.5000 0.5000 (multiplicity 3)

=====

Record 2
A plane-wave DFT calculation with PBEsol was carried out for an optimized crystal structure of YTa2Pt2.

**Formation energy**: -483 meV/atom
**Magnetic moment**: 0.000 μB/f.u.

Unit cell a=4.1790 b=4.1790 c=11.4658 alpha=90.00 beta=90.00 gamma=90.00
Space group I4/mmm (No. 139)
Symmetry-distinct sites (fractional):
Y: 0.0000 0.0000 0.0000 (multiplicity 2)
Ta: 0.0000 0.5000 0.2500 (multiplicity 4)
Pt: 0.0000 0.0000 0.3891 (multiplicity 4)

=====

Record 3
A plane-wave DFT calculation with PBEsol was carried out for an optimized crystal structure of CoGe3S.

**E_tot**: -4.30 eV/atom
**Magnetic moment**: 1.885 μB/f.u.

Unit cell a=4.7265 b=4.7265 c=4.7265 alpha=90.00 beta=90.00 gamma=90.00
Space group Pm-3m (No. 221)
Symmetry-distinct sites (fractional):
Co: 0.0000 0.0000 0.0000 (multiplicity 1)
Ge: 0.0000 0.5000 0.5000 (multiplicity 3)
S: 0.5000 0.5000 0.5000 (multiplicity 1)